{"formula": "LiZrZnFe", "functional": "GGA-PBE", "state": "relaxed", "rho_g_cm3": 5.9, "e_above_lowest_polymorph_mev_per_atom": 70, "magmom_total_mub_per_cell": 2.70, "volume_a3_per_atom": 15.36, "lattice_angstrom": [[0.000, 3.132, 3.132], [3.132, 0.000, 3.132], [3.132, 3.132, 0.000]], "species": ["Li", "Zr", "Zn", "Fe"], "frac_coords": [[0.000, 0.000, 0.000], [0.250, 0.250, 0.250], [0.500, 0.500, 0.500], [0.750, 0.750, 0.750]]}

***

{"formula": "ZrAg2Sn2", "functional": "GGA-PBE", "state": "relaxed", "rho_g_cm3": 8.3, "magmom_total_mub_per_cell": 0.01, "volume_a3_per_atom": 21.91, "lattice_angstrom": [[-2.020, 2.020, 6.712], [2.020, -2.020, 6.712], [2.020, 2.020, -6.712]], "species": ["Zr", "Ag", "Ag", "Sn", "Sn"], "frac_coords": [[0.000, 0.000, 0.000], [0.250, 0.750, 0.500], [0.750, 0.250, 0.500], [0.397, 0.397, 0.000], [0.603, 0.603, 0.000]]}

***

{"formula": "MgZnNiAg", "functional": "GGA-PBE", "state": "relaxed", "rho_g_cm3": 7.0, "magmom_total_mub_per_cell": 0.00, "volume_a3_per_atom": 15.16, "lattice_angstrom": [[0.000, 3.118, 3.118], [3.118, 0.000, 3.118], [3.118, 3.118, 0.000]], "species": ["Mg", "Zn", "Ni", "Ag"], "frac_coords": [[0.000, 0.000, 0.000], [0.250, 0.250, 0.250], [0.500, 0.500, 0.500], [0.750, 0.750, 0.750]]}

***

{"formula": "Te3Pd2", "functional": "GGA-PBE", "state": "relaxed", "rho_g_cm3": 7.5, "volume_a3_per_atom": 26.43, "lattice_angstrom": [[0.000, 5.618, 11.769], [3.997, 0.000, 11.769], [3.997, 5.618, 0.000]], "species": ["Te", "Te", "Te", "Te", "Te", "Te", "Te", "Te", "Te", "Te", "Te", "Te", "Pd", "Pd", "Pd", "Pd", "Pd", "Pd", "Pd", "Pd"], "frac_coords": [[0.054, 0.540, 0.173], [0.114, 0.636, 0.636], [0.173, 0.733, 0.054], [0.267, 0.827, 0.460], [0.364, 0.886, 0.886], [0.460, 0.946, 0.267], [0.540, 0.054, 0.733], [0.636, 0.114, 0.114], [0.733, 0.173, 0.540], [0.827, 0.267, 0.946], [0.886, 0.364, 0.364], [0.946, 0.460, 0.827], [0.044, 0.044, 0.206], [0.130, 0.130, 0.620], [0.206, 0.206, 0.044], [0.380, 0.380, 0.870], [0.620, 0.620, 0.130], [0.794, 0.794, 0.956], [0.870, 0.870, 0.380], [0.956, 0.956, 0.794]]}

***

{"formula": "FeSnHgW", "functional": "GGA-PBE", "state": "relaxed", "rho_g_cm3": 13.0, "e_above_lowest_polymorph_mev_per_atom": 160, "magmom_total_mub_per_cell": 1.96, "volume_a3_per_atom": 17.80, "lattice_angstrom": [[0.000, 3.289, 3.289], [3.289, 0.000, 3.289], [3.289, 3.289, 0.000]], "species": ["Fe", "Sn", "Hg", "W"], "frac_coords": [[0.000, 0.000, 0.000], [0.750, 0.750, 0.750], [0.500, 0.500, 0.500], [0.250, 0.250, 0.250]]}

***

{"formula": "PrDySi2", "functional": "GGA-PBE", "state": "relaxed", "rho_g_cm3": 6.5, "e_above_lowest_polymorph_mev_per_atom": 0, "magmom_total_mub_per_cell": 0.01, "volume_a3_per_atom": 23.14, "lattice_angstrom": [[3.900, 0.000, 0.000], [0.000, 8.136, 0.000], [0.000, 0.000, 5.834]], "species": ["Pr", "Pr", "Dy", "Dy", "Si", "Si", "Si", "Si"], "frac_coords": [[0.000, 0.072, 0.000], [0.500, 0.928, 0.500], [0.000, 0.569, 0.728], [0.500, 0.431, 0.228], [0.000, 0.224, 0.487], [0.000, 0.704, 0.237], [0.500, 0.296, 0.737], [0.500, 0.776, 0.987]]}

***

no.,electronic total energy (eV per atom)
1,-4.886
2,-4.441
3,-2.886
4,-4.224
5,-5.435
6,-5.835